[1]
Material: CuMo2Au
Method: DFT, PBE
State: optimized geometry

final energy	-28.310	eV per cell
space group	P4mm (99)

a b c (Å): 3.2684 3.2684 5.8452
angles (deg): 90.00 90.00 90.00
Fractional positions:
Au: 0.0000 0.0000 0.5216
Cu: 0.5000 0.5000 0.7498
Mo: 0.0000 0.0000 0.0028
Mo: 0.5000 0.5000 0.2258

***

[2]
Material: CuMo2Au
Method: DFT, PBE
State: optimized geometry

final energy	-53.448	eV per cell
space group	I-42d (122)

a b c (Å): 3.6632 3.6632 10.1935
angles (deg): 79.65 79.65 90.00
Fractional positions:
Mo: 0.6126 0.1250 0.2500
Mo: 0.1374 0.6250 0.2500
Mo: 0.3750 0.3874 0.7500
Mo: 0.8750 0.8626 0.7500
Au: 0.0000 0.0000 0.0000
Au: 0.7500 0.2500 0.5000
Cu: 0.5000 0.5000 0.0000
Cu: 0.2500 0.7500 0.5000

***

[3]
Material: CuMo2Au
Method: DFT, PBE
State: optimized geometry

final energy	-28.279	eV per cell
space group	Pm (6)

a b c (Å): 4.3540 2.6656 5.3900
angles (deg): 82.74 90.00 90.00
Fractional positions:
Au: 0.0000 0.6566 0.5055
Cu: 0.5000 0.5968 0.7655
Mo: 0.0000 0.0166 0.9868
Mo: 0.5000 0.2300 0.2422

***

[4]
Material: Cu4MoAu
Method: DFT, PBE
State: optimized geometry

final energy	-29.132	eV per cell
space group	F-43m (216)

a b c (Å): 4.8681 4.8681 4.8681
angles (deg): 60.00 60.00 60.00
Fractional positions:
Cu: 0.8742 0.3753 0.3753
Cu: 0.3753 0.3753 0.8742
Cu: 0.3753 0.8742 0.3753
Cu: 0.3753 0.3753 0.3753
Mo: 0.7500 0.7500 0.7500
Au: 0.0000 0.0000 0.0000

***

[5]
Material: CuMo2Au
Method: DFT, PBE
State: optimized geometry

final energy	-28.152	eV per cell
space group	Immm (71)

a b c (Å): 5.1182 5.1182 3.6367
angles (deg): 69.18 69.18 43.99
Fractional positions:
Au: 0.7500 0.7500 0.7500
Cu: 0.2500 0.2500 0.2500
Mo: 0.0030 0.0030 0.9971
Mo: 0.4970 0.4970 0.5029

***

[6]
Material: Cu3MoAu
Method: DFT, PBE
State: optimized geometry

final energy	-18.671	eV per cell
space group	Pm-3m (221)

a b c (Å): 4.6456 4.6456 4.6456
angles (deg): 90.00 90.00 90.00
Fractional positions:
Mo: 0.0000 0.0000 0.0000
Au: 0.5000 0.5000 0.5000
Cu: 0.0000 0.5000 0.0000
Cu: 0.0000 0.0000 0.5000
Cu: 0.5000 0.0000 0.0000

***

Which of these has the lowest final energy?
number 2